[1]
4
Lattice="1.7547 1.0131 9.7782 -1.7547 1.0131 9.7782 0.0000 -2.0261 9.7782" Properties=species:S:1:pos:R:3 comment="GaTe2S | Alexandria | GGA-PBE | optimized geometry" n_ef_per_ev_cell=2.9 sg=R-3m e_form_raw_mev_per_atom=391.1 pbc="T T T"
Ga 0.0000 0.0000 0.0000
Te 0.0000 0.0000 2.8816
Te 0.0000 0.0000 26.4529
S 0.0000 0.0000 14.6673


[2]
5
Lattice="4.6918 0.0000 0.0000 0.0000 4.6918 0.0000 0.0000 0.0000 4.6918" Properties=species:S:1:pos:R:3 comment="GaTeS3 | Alexandria | GGA-PBE | optimized geometry" n_ef_per_ev_cell=3.3 sg=Pm-3m polymorph_energy_mev_per_atom=609 e_form_raw_mev_per_atom=337.2 pbc="T T T"
Ga 0.0000 0.0000 0.0000
Te 2.3459 2.3459 2.3459
S 0.0000 0.0000 2.3459
S 0.0000 2.3459 0.0000
S 2.3459 0.0000 0.0000


[3]
7
Lattice="-2.6538 2.6538 6.0366 2.6538 -2.6538 6.0366 2.6538 2.6538 -6.0366" Properties=species:S:1:pos:R:3 comment="Ga2TeS4 | Alexandria | GGA-PBE | optimized geometry" n_ef_per_ev_cell=4.7 sg=I4/mmm polymorph_energy_mev_per_atom=633 e_form_raw_mev_per_atom=170.2 pbc="T T T"
Ga 0.0000 0.0000 1.2710
Ga 0.0000 0.0000 10.8023
Te 0.0000 0.0000 6.0366
S 2.6538 0.0000 0.0000
S 0.0000 0.0000 3.4650
S 0.0000 2.6538 0.0000
S 0.0000 0.0000 8.6083